Record 1
DFT (GGA-PBE) results for an optimized crystal structure of SrLi2Pb.

Output
M_tot = 0.00 μB per formula unit
calculated formation energy = -0.345 eV/atom

Cell and atoms, written as POSCAR:
```
SrLi2Pb
1.0
-3.863 2.929 0.961
-3.295 -1.309 3.443
0.552 3.163 5.274
Li Sr Pb
2 1 1
Cartesian
0.094 2.754 4.681
-5.025 3.527 7.171
-1.569 1.267 2.523
-2.858 2.789 5.417
```

---

Record 2
DFT (GGA-PBE) results for an optimized crystal structure of RbCoP2Cl.

Output
formation energy (no corrections) = -0.297 eV per atom
M_tot = 0.00 μB per formula unit

Cell and atoms, written as POSCAR:
```
RbCoP2Cl
1.0
-0.988 -1.088 -3.964
1.279 -3.956 0.767
-8.146 -2.128 2.613
P Cl Co Rb
2 1 1 1
Cartesian
0.640 -1.978 0.383
-0.494 -0.544 -1.982
-4.073 -1.064 1.307
0.000 0.000 0.000
-3.927 -3.586 -0.292
```

---

Record 3
DFT (GGA-PBE) results for an optimized crystal structure of TlPb3Br.

Output
formation energy (no corrections) = 0.327 eV per atom
M_tot = 0.00 μB per formula unit

Cell and atoms, written as POSCAR:
```
TlPb3Br
1.0
5.804 0.000 0.000
0.000 5.804 0.000
0.000 0.000 5.804
Pb Tl Br
3 1 1
Cartesian
2.902 0.000 0.000
0.000 0.000 2.902
0.000 2.902 0.000
2.902 2.902 2.902
0.000 0.000 0.000
```

---

Record 4
DFT (GGA-PBE) results for an optimized crystal structure of K3Dy2USe6.

Output
formation energy (no corrections) = -1.568 eV per atom
M_tot = 3.01 μB per formula unit

Cell and atoms, written as POSCAR:
```
K3Dy2USe6
1.0
7.329 -0.001 0.000
-3.664 6.348 0.000
-1.222 -2.116 7.703
Dy K Se U
2 3 6 1
Cartesian
3.664 2.115 0.000
0.001 4.231 0.000
1.222 2.115 3.852
4.883 0.000 3.852
-2.440 4.230 3.852
-1.234 2.138 1.592
0.012 0.021 6.109
-0.025 4.231 6.111
3.677 2.093 6.111
2.468 -0.001 1.592
2.431 4.209 1.594
0.000 0.000 0.000
```

---

Record 5
DFT (GGA-PBE) results for an optimized crystal structure of YEr6Th12.

Output
M_tot = 0.00 μB per formula unit
calculated formation energy = 0.244 eV/atom

Cell and atoms, written as POSCAR:
```
YEr6Th12
1.0
-6.135 4.359 -4.378
1.835 -6.180 -5.852
-5.061 -4.583 5.403
Th Er Y
12 6 1
Cartesian
-1.637 -3.400 -0.520
-2.932 -3.607 -5.268
-6.702 -0.529 -2.040
-2.660 -5.875 -2.787
-1.923 -1.017 -3.127
-3.761 -0.591 -0.127
-5.600 -5.813 -4.700
-4.408 -5.470 0.067
-7.725 -3.004 -4.307
-7.438 -5.387 -1.700
-6.429 -2.797 0.441
-4.953 -0.934 -4.894
0.103 -4.108 -3.768
-4.376 1.815 -2.939
-4.985 -8.219 -1.888
-5.589 -3.193 -7.385
-9.464 -2.295 -1.059
-3.773 -3.211 2.558
0.000 0.000 0.000
```

---

Record 6
DFT (GGA-PBE) results for an optimized crystal structure of Sm2Al5Ag5.

Output
M_tot = 0.00 μB per formula unit
calculated formation energy = -0.340 eV/atom

Cell and atoms, written as POSCAR:
```
Sm2Al5Ag5
1.0
-0.404 -4.378 0.712
5.169 -0.747 -1.664
3.084 1.187 9.052
Sm Ag Al
2 5 5
Cartesian
2.585 -0.373 -0.832
1.542 0.594 4.526
2.529 0.973 7.422
0.555 0.214 1.629
4.637 0.416 5.190
-0.202 -2.189 0.356
3.617 0.024 2.198
3.429 -1.480 6.775
4.421 -2.458 1.325
5.997 -1.851 5.949
3.925 -1.969 4.050
1.854 -2.087 2.151
```

---

Number 1: electronic total energy -2.6499 eV/atom. Number 2: electronic total energy -4.4455 eV/atom. Number 3: electronic total energy -2.7057 eV/atom. Number 4: electronic total energy -5.2927 eV/atom. Number 5: electronic total energy -6.2235 eV/atom. Number 6: electronic total energy -3.8735 eV/atom.